(1)
Entry from the Alexandria database: an optimized crystal structure of Cs12Au3Br5 (PBE-GGA).

Output
M_tot (μB/atom): 0.06
E_form (uncorrected) (kcal/mol of atoms): -20.50
Density of states at the Fermi level (states/eV/cell): 38.2
Energy (eV for the cell shown): -184.88

Unit cell a=18.769 b=18.769 c=18.769 alpha=109.47 beta=109.47 gamma=109.47
Sites, in units of the cell vectors:
Cs: 0.084 0.912 0.133
Cs: 0.588 0.721 0.672
Cs: 0.588 0.867 0.416
Cs: 0.172 0.084 0.951
Cs: 0.672 0.451 0.584
Cs: 0.633 0.584 0.912
Cs: 0.084 0.172 0.451
Cs: 0.912 0.084 0.633
Cs: 0.549 0.221 0.133
Cs: 0.133 0.721 0.549
Cs: 0.416 0.049 0.328
Cs: 0.451 0.672 0.084
Cs: 0.416 0.367 0.588
Cs: 0.721 0.133 0.049
Cs: 0.279 0.867 0.951
Cs: 0.367 0.951 0.779
Cs: 0.221 0.549 0.633
Cs: 0.172 0.088 0.721
Cs: 0.049 0.416 0.828
Cs: 0.828 0.912 0.279
Cs: 0.412 0.279 0.328
Cs: 0.088 0.172 0.221
Cs: 0.367 0.416 0.088
Cs: 0.779 0.451 0.367
Cs: 0.221 0.672 0.088
Cs: 0.133 0.412 0.084
Cs: 0.279 0.412 0.828
Cs: 0.951 0.367 0.279
Cs: 0.584 0.633 0.412
Cs: 0.916 0.088 0.867
Cs: 0.549 0.328 0.916
Cs: 0.088 0.916 0.367
Cs: 0.912 0.828 0.779
Cs: 0.049 0.633 0.721
Cs: 0.584 0.951 0.672
Cs: 0.867 0.588 0.916
Cs: 0.451 0.779 0.867
Cs: 0.672 0.221 0.588
Cs: 0.867 0.279 0.451
Cs: 0.328 0.779 0.412
Cs: 0.951 0.584 0.172
Cs: 0.633 0.049 0.221
Cs: 0.828 0.916 0.049
Cs: 0.721 0.588 0.172
Cs: 0.328 0.549 0.416
Cs: 0.412 0.133 0.584
Cs: 0.916 0.828 0.549
Cs: 0.779 0.328 0.912
Br: 0.375 0.250 0.125
Br: 0.000 0.000 0.000
Br: 0.500 0.500 0.500
Br: 0.250 0.875 0.125
Br: 0.375 0.125 0.750
Br: 0.000 0.500 0.500
Br: 0.875 0.250 0.625
Br: 0.000 0.500 0.000
Br: 0.000 0.000 0.500
Br: 0.750 0.625 0.375
Br: 0.875 0.625 0.750
Br: 0.500 0.500 0.000
Br: 0.125 0.375 0.250
Br: 0.625 0.875 0.250
Br: 0.750 0.125 0.875
Br: 0.125 0.750 0.375
Br: 0.500 0.000 0.000
Br: 0.625 0.750 0.875
Br: 0.250 0.375 0.625
Br: 0.500 0.000 0.500
Au: 0.375 0.750 0.625
Au: 0.250 0.125 0.375
Au: 0.125 0.250 0.875
Au: 0.875 0.125 0.250
Au: 0.750 0.875 0.625
Au: 0.375 0.625 0.250
Au: 0.875 0.750 0.125
Au: 0.750 0.375 0.125
Au: 0.125 0.875 0.750
Au: 0.625 0.375 0.750
Au: 0.250 0.625 0.875
Au: 0.625 0.250 0.375

***

(2)
Entry from the Alexandria database: an optimized crystal structure of Cs4AuBr2 (PBE-GGA).

Output
M_tot (μB/atom): 0.00
Energy above the most stable polymorph in this dataset (eV/f.u.): 0.540
E_form (uncorrected) (kcal/mol of atoms): -22.50
Density of states at the Fermi level (states/eV/cell): 2.9
Energy (eV for the cell shown): -16.87

Unit cell a=6.797 b=6.797 c=10.475 alpha=71.07 beta=71.07 gamma=90.00
Sites, in units of the cell vectors:
Cs: 0.204 0.204 0.592
Cs: 0.796 0.796 0.408
Cs: 0.500 0.000 0.000
Cs: 0.000 0.500 0.000
Br: 0.389 0.389 0.222
Br: 0.611 0.611 0.778
Au: 0.000 0.000 0.000

***

(3)
Entry from the Alexandria database: an optimized crystal structure of Cs3AuBr6 (PBE-GGA).

Output
M_tot (μB/atom): 0.00
Energy above the most stable polymorph in this dataset (eV/f.u.): 0.947
E_form (uncorrected) (kcal/mol of atoms): -24.60
Density of states at the Fermi level (states/eV/cell): 0.0
Energy (eV for the cell shown): -26.54

Unit cell a=8.210 b=8.210 c=9.024 alpha=62.94 beta=62.94 gamma=90.00
Sites, in units of the cell vectors:
Cs: 0.250 0.750 0.500
Cs: 0.750 0.250 0.500
Cs: 0.500 0.500 0.000
Br: 0.212 0.212 0.000
Br: 0.252 0.252 0.497
Br: 0.748 0.748 0.503
Br: 0.212 0.788 0.000
Br: 0.788 0.788 0.000
Br: 0.788 0.212 0.000
Au: 0.000 0.000 0.000

***

(4)
Entry from the Alexandria database: an optimized crystal structure of Cs4AuBr3 (PBE-GGA).

Output
M_tot (μB/atom): 0.00
E_form (uncorrected) (kcal/mol of atoms): -32.74
Density of states at the Fermi level (states/eV/cell): 0.0
Energy (eV for the cell shown): -23.07

Unit cell a=5.215 b=9.062 c=9.062 alpha=109.39 beta=90.00 gamma=90.00
Sites, in units of the cell vectors:
Br: 0.500 0.500 0.500
Br: 0.000 0.500 0.000
Br: 0.000 0.000 0.500
Cs: 0.500 0.251 0.749
Cs: 0.500 0.749 0.251
Cs: 0.000 0.748 0.748
Cs: 0.000 0.252 0.252
Au: 0.500 0.000 0.000

***

(5)
Entry from the Alexandria database: an optimized crystal structure of CsAu3Br (PBE-GGA).

Output
M_tot (μB/atom): 0.00
Energy above the most stable polymorph in this dataset (eV/f.u.): 0.000
E_form (uncorrected) (kcal/mol of atoms): 6.75
Density of states at the Fermi level (states/eV/cell): 1.4
Energy (eV for the cell shown): -10.89

Unit cell a=5.456 b=5.456 c=5.456 alpha=90.00 beta=90.00 gamma=90.00
Sites, in units of the cell vectors:
Cs: 0.500 0.500 0.500
Au: 0.000 0.500 0.000
Au: 0.000 0.000 0.500
Au: 0.500 0.000 0.000
Br: 0.000 0.000 0.000

***

(6)
Entry from the Alexandria database: an optimized crystal structure of Cs3AuBr (PBE-GGA).

Output
M_tot (μB/atom): 0.00
Energy above the most stable polymorph in this dataset (eV/f.u.): 0.000
E_form (uncorrected) (kcal/mol of atoms): -19.04
Density of states at the Fermi level (states/eV/cell): 3.2
Energy (eV for the cell shown): -23.28

Unit cell a=5.219 b=8.919 c=14.110 alpha=108.43 beta=90.00 gamma=90.00
Sites, in units of the cell vectors:
Cs: 0.750 0.636 0.179
Cs: 0.250 0.457 0.821
Cs: 0.750 0.953 0.823
Cs: 0.250 0.130 0.177
Cs: 0.250 0.623 0.499
Cs: 0.750 0.124 0.501
Au: 0.250 0.043 0.669
Au: 0.750 0.374 0.331
Br: 0.750 0.541 0.665
Br: 0.250 0.876 0.335

***

(7)
Entry from the Alexandria database: an optimized crystal structure of Cs7Au2Br2 (PBE-GGA).

Output
M_tot (μB/atom): 0.00
E_form (uncorrected) (kcal/mol of atoms): -16.28
Density of states at the Fermi level (states/eV/cell): 6.5
Energy (eV for the cell shown): -23.64

Unit cell a=9.269 b=9.937 c=9.937 alpha=114.68 beta=95.05 gamma=95.05
Sites, in units of the cell vectors:
Cs: 0.723 0.041 0.433
Cs: 0.277 0.959 0.567
Cs: 0.255 0.417 0.417
Cs: 0.745 0.583 0.583
Cs: 0.000 0.000 0.000
Cs: 0.277 0.567 0.959
Cs: 0.723 0.433 0.041
Au: 0.500 0.672 0.328
Au: 0.500 0.328 0.672
Br: 0.870 0.288 0.288
Br: 0.130 0.712 0.712

***

(8)
Entry from the Alexandria database: an optimized crystal structure of Cs8Au3Br (PBE-GGA).

Output
M_tot (μB/atom): 0.00
E_form (uncorrected) (kcal/mol of atoms): -10.65
Density of states at the Fermi level (states/eV/cell): 8.8
Energy (eV for the cell shown): -23.87

Unit cell a=10.528 b=10.504 c=10.736 alpha=119.75 beta=90.00 gamma=120.08
Sites, in units of the cell vectors:
Cs: 0.745 0.490 0.231
Cs: 0.754 0.508 0.769
Cs: 0.744 0.989 0.231
Cs: 0.256 0.011 0.769
Cs: 0.754 0.011 0.769
Cs: 0.246 0.989 0.231
Cs: 0.246 0.492 0.231
Cs: 0.255 0.510 0.769
Au: 0.500 0.000 0.000
Au: 0.000 0.500 0.000
Au: 0.500 0.500 0.000
Br: 0.000 0.000 0.000

***

- What is the formula in the first record?
  Cs12Au3Br5

***

- Look up the E_form (uncorrected) of the first one.
  -20.50 kcal/mol of atoms